Material: CdFe2Ni
Method: DFT, PBE-GGA
State: optimized geometry

a b c (Å): 3.707 3.707 7.961
angles (deg): 90.00 90.00 90.00
Space group I4/mmm (No. 139)
Inequivalent atoms, fractional coordinates:
Cd: 0.000 0.000 0.000
Fe: 0.000 0.500 0.250
Ni: 0.000 0.000 0.500

As for the total magnetic moment: 11.67 μB/cell. As for the density of states at the Fermi level: 8.85 states/eV per cell. As for the formation energy: 0.252 eV per atom. The calculation puts the electronic total energy at -0.4155 Ry/atom.

***

Material: YMg3Ag
Method: DFT, PBE-GGA
State: optimized geometry

a b c (Å): 9.429 3.950 12.771
angles (deg): 90.00 90.00 90.00
Space group Pnma (No. 62)
Inequivalent atoms, fractional coordinates:
Y: 0.166 0.250 0.006
Mg: 0.063 0.250 0.415
Mg: 0.092 0.750 0.220
Mg: 0.156 0.750 0.791
Ag: 0.141 0.250 0.629

As for the total magnetic moment: 0.00 μB/cell. As for the density of states at the Fermi level: 14.82 states/eV per cell. As for the formation energy: -0.148 eV per atom. The value obtained for the polymorph energy (0 for the lowest one) is 0.001 eV per atom. The calculation puts the electronic total energy at -0.2181 Ry/atom.